TbTc2B2: relaxed, GGA-PBE.

## Properties
crystal system = orthorhombic
calculated formation energy = -1.54 eV/f.u.

abc: 5.5644 5.5625 3.6962
angles: 70.63 70.57 38.80
Fractional coordinates of all 5 atoms:
Tb  0.0000  0.0000  0.0000
Tc  0.2500  0.2500  0.2500
Tc  0.7500  0.7500  0.7500
B  0.4004  0.4004  0.5996
B  0.5996  0.5996  0.4004



Tb2TcB6: relaxed, GGA-PBE.

## Properties
crystal system = orthorhombic
calculated formation energy = -3.10 eV/f.u.

abc: 6.7273 6.7273 6.7273
angles: 150.07 132.54 57.14
Fractional coordinates of all 9 atoms:
Tb  0.1627  0.1627  0.0000
Tb  0.8373  0.8373  0.0000
Tc  0.5000  0.0000  0.5000
B  0.1656  0.5000  0.6656
B  0.2332  0.3821  0.8511
B  0.4690  0.6179  0.8511
B  0.5310  0.3821  0.1489
B  0.7668  0.6179  0.1489
B  0.8344  0.5000  0.3345



Tb3Tc3B8: relaxed, GGA-PBE.

## Properties
crystal system = orthorhombic
calculated formation energy = -2.45 eV/f.u.

abc: 7.9028 7.9028 7.9028
angles: 156.92 111.42 73.43
Fractional coordinates of all 14 atoms:
Tb  0.0000  0.0000  0.0000
Tb  0.2824  0.2824  0.0000
Tb  0.7176  0.7176  0.0000
Tc  0.2794  0.5000  0.7794
Tc  0.5000  0.0000  0.5000
Tc  0.7206  0.5000  0.2206
B  0.0240  0.3483  0.6757
B  0.1102  0.8667  0.2435
B  0.3274  0.6517  0.6757
B  0.3768  0.1333  0.2435
B  0.6232  0.8667  0.7565
B  0.6726  0.3483  0.3243
B  0.8898  0.1333  0.7565
B  0.9760  0.6517  0.3243



Tb3BTe2: relaxed, GGA-PBE.

## Properties
formation energy without anion corrections = -0.98 eV/atom
crystal system = orthorhombic

abc: 13.7591 13.1202 7.3372
angles: 79.02 69.41 31.57
Fractional coordinates of all 24 atoms:
Tb  0.0343  0.5311  0.1744
Tb  0.0757  0.6743  0.6743
Tb  0.1744  0.7602  0.0343
Tb  0.2398  0.8256  0.4689
Tb  0.3257  0.9243  0.9243
Tb  0.4689  0.9657  0.2398
Tb  0.5311  0.0343  0.7602
Tb  0.6743  0.0757  0.0757
Tb  0.7602  0.1744  0.5311
Tb  0.8256  0.2398  0.9657
Tb  0.9243  0.3257  0.3257
Tb  0.9657  0.4689  0.8256
B  0.0411  0.0411  0.2089
B  0.2089  0.2089  0.0411
B  0.7911  0.7911  0.9589
B  0.9589  0.9589  0.7911
Te  0.1305  0.1305  0.6195
Te  0.2972  0.2972  0.4528
Te  0.3805  0.3805  0.8695
Te  0.4528  0.4528  0.2972
Te  0.5472  0.5472  0.7028
Te  0.6195  0.6195  0.1305
Te  0.7028  0.7028  0.5472
Te  0.8695  0.8695  0.3805



Tb5BTe4: relaxed, GGA-PBE.

## Properties
formation energy without anion corrections = -1.14 eV/atom
crystal system = tetragonal

abc: 7.4369 7.4369 7.4369
angles: 99.56 99.56 131.89
Fractional coordinates of all 10 atoms:
Tb  0.0000  0.0000  0.0000
Tb  0.2154  0.3767  0.6549
Tb  0.3767  0.7217  0.1613
Tb  0.5604  0.2154  0.8387
Tb  0.7217  0.5604  0.3451
B  0.4471  0.4471  0.0000
Te  0.0564  0.6606  0.7782
Te  0.2782  0.0564  0.3958
Te  0.6606  0.8824  0.6042
Te  0.8824  0.2782  0.2218



Tb4BTe3: relaxed, GGA-PBE.

## Properties
formation energy without anion corrections = -1.08 eV/atom
crystal system = orthorhombic

abc: 7.4666 7.4666 4.1603
angles: 90.00 90.00 108.77
Fractional coordinates of all 8 atoms:
Tb  0.2076  0.2076  0.5000
Tb  0.2167  0.7833  0.0000
Tb  0.7833  0.2167  0.0000
Tb  0.7924  0.7924  0.5000
B  0.0000  0.0000  0.0000
Te  0.0000  0.5000  0.5000
Te  0.5000  0.0000  0.5000
Te  0.5000  0.5000  0.0000



TbThB4: relaxed, GGA-PBE.

## Properties
crystal system = tetragonal
calculated formation energy = -1.87 eV/f.u.

abc: 6.4105 6.4105 6.4105
angles: 146.34 146.34 48.33
Fractional coordinates of all 6 atoms:
Tb  0.0000  0.0000  0.0000
Th  0.2500  0.7500  0.5000
B  0.4249  0.4249  0.0000
B  0.5751  0.5751  0.0000
B  0.6703  0.1703  0.5000
B  0.8297  0.3297  0.5000



TbThB: relaxed, GGA-PBE.

## Properties
crystal system = orthorhombic
calculated formation energy = -0.46 eV/f.u.

abc: 11.8969 11.8969 3.3245
angles: 90.00 90.00 162.28
Fractional coordinates of all 6 atoms:
Tb  0.1979  0.8021  0.7500
Tb  0.8021  0.1979  0.2500
Th  0.4294  0.5706  0.7500
Th  0.5706  0.4294  0.2500
B  0.0147  0.9853  0.7500
B  0.9853  0.0147  0.2500



TbThB12: relaxed, GGA-PBE.

## Properties
crystal system = tetragonal
calculated formation energy = -6.25 eV/f.u.

abc: 4.1049 4.1049 8.2146
angles: 90.00 90.00 90.00
Fractional coordinates of all 14 atoms:
Tb  0.0000  0.0000  0.0000
Th  0.0000  0.0000  0.5000
B  0.1980  0.5000  0.2488
B  0.1980  0.5000  0.7512
B  0.5000  0.1980  0.2488
B  0.5000  0.1980  0.7512
B  0.5000  0.5000  0.0988
B  0.5000  0.5000  0.4006
B  0.5000  0.5000  0.5994
B  0.5000  0.5000  0.9012
B  0.5000  0.8020  0.2488
B  0.5000  0.8020  0.7512
B  0.8020  0.5000  0.2488
B  0.8020  0.5000  0.7512



TbTiB: relaxed, GGA-PBE.

## Properties
crystal system = orthorhombic
calculated formation energy = -0.06 eV/f.u.

abc: 3.7874 6.8858 6.8858
angles: 122.63 90.00 90.00
Fractional coordinates of all 9 atoms:
Tb  0.0000  0.0000  0.0000
Tb  0.0000  0.1817  0.6010
Tb  0.0000  0.6010  0.1817
Ti  0.5000  0.3320  0.3320
Ti  0.5000  0.6017  0.8195
Ti  0.5000  0.8195  0.6017
B  0.0000  0.5799  0.5799
B  0.5000  0.2588  0.9450
B  0.5000  0.9450  0.2588



TbTiB4: relaxed, GGA-PBE.

## Properties
crystal system = orthorhombic
calculated formation energy = -4.14 eV/f.u.

abc: 6.0784 11.7645 3.5826
angles: 90.00 90.00 90.00
Fractional coordinates of all 24 atoms:
Tb  0.1262  0.1515  0.0000
Tb  0.3738  0.6515  0.0000
Tb  0.6262  0.3485  0.0000
Tb  0.8738  0.8485  0.0000
Ti  0.1314  0.4142  0.0000
Ti  0.3686  0.9142  0.0000
Ti  0.6314  0.0858  0.0000
Ti  0.8686  0.5858  0.0000
B  0.0210  0.6934  0.5000
B  0.1137  0.5469  0.5000
B  0.1328  0.9676  0.5000
B  0.2069  0.8138  0.5000
B  0.2931  0.3138  0.5000
B  0.3672  0.4676  0.5000
B  0.3863  0.0469  0.5000
B  0.4790  0.1934  0.5000
B  0.5210  0.8066  0.5000
B  0.6137  0.9531  0.5000
B  0.6328  0.5324  0.5000
B  0.7069  0.6862  0.5000
B  0.7931  0.1862  0.5000
B  0.8672  0.0324  0.5000
B  0.8863  0.4531  0.5000
B  0.9790  0.3066  0.5000



TbTmB12: relaxed, GGA-PBE.

## Properties
crystal system = tetragonal
calculated formation energy = -5.34 eV/f.u.

abc: 4.0893 4.0893 8.1840
angles: 90.00 90.00 90.00
Fractional coordinates of all 14 atoms:
Tb  0.0000  0.0000  0.0000
Tm  0.0000  0.0000  0.5000
B  0.1987  0.5000  0.2509
B  0.1987  0.5000  0.7491
B  0.5000  0.1987  0.2509
B  0.5000  0.1987  0.7491
B  0.5000  0.5000  0.0996
B  0.5000  0.5000  0.4010
B  0.5000  0.5000  0.5990
B  0.5000  0.5000  0.9004
B  0.5000  0.8013  0.2509
B  0.5000  0.8013  0.7491
B  0.8013  0.5000  0.2509
B  0.8013  0.5000  0.7491



TbTm2B6: relaxed, GGA-PBE.

## Properties
crystal system = hexagonal
calculated formation energy = -5.50 eV/f.u.

abc: 5.6657 5.6657 3.8276
angles: 90.00 90.00 120.00
Fractional coordinates of all 9 atoms:
Tb  0.0000  0.0000  0.0000
Tm  0.3333  0.6667  0.0000
Tm  0.6667  0.3333  0.0000
B  0.0000  0.3357  0.5000
B  0.0000  0.6643  0.5000
B  0.3357  0.0000  0.5000
B  0.3357  0.3357  0.5000
B  0.6643  0.0000  0.5000
B  0.6643  0.6643  0.5000



TbTm3B: relaxed, GGA-PBE.

## Properties
crystal system = cubic
calculated formation energy = 0.22 eV/f.u.

abc: 5.0908 5.0908 5.0908
angles: 90.00 90.00 90.00
Fractional coordinates of all 5 atoms:
Tb  0.0000  0.0000  0.0000
Tm  0.0000  0.5000  0.5000
Tm  0.5000  0.0000  0.5000
Tm  0.5000  0.5000  0.0000
B  0.5000  0.5000  0.5000



TbTmB4: relaxed, GGA-PBE.

## Properties
crystal system = cubic
calculated formation energy = 2.78 eV/f.u.

abc: 4.6061 4.6061 4.6061
angles: 60.00 60.00 60.00
Fractional coordinates of all 6 atoms:
Tb  0.0000  0.0000  0.0000
Tm  0.7500  0.7500  0.7500
B  0.3747  0.3747  0.3747
B  0.3747  0.3747  0.8758
B  0.3747  0.8758  0.3747
B  0.8758  0.3747  0.3747



TbTmB4: relaxed, GGA-PBE.

## Properties
crystal system = tetragonal
calculated formation energy = -2.62 eV/f.u.

abc: 6.2758 6.2758 6.2758
angles: 147.11 147.11 47.20
Fractional coordinates of all 6 atoms:
Tb  0.0000  0.0000  0.0000
Tm  0.2500  0.7500  0.5000
B  0.4203  0.4203  0.0000
B  0.5797  0.5797  0.0000
B  0.6724  0.1724  0.5000
B  0.8276  0.3276  0.5000



TbUB12: relaxed, GGA-PBE.

## Properties
crystal system = tetragonal
calculated formation energy = -4.82 eV/f.u.

abc: 4.0841 4.0841 8.1795
angles: 90.00 90.00 90.00
Fractional coordinates of all 14 atoms:
Tb  0.0000  0.0000  0.0000
U  0.0000  0.0000  0.5000
B  0.1979  0.5000  0.2504
B  0.1979  0.5000  0.7496
B  0.5000  0.1979  0.2504
B  0.5000  0.1979  0.7496
B  0.5000  0.5000  0.0993
B  0.5000  0.5000  0.4013
B  0.5000  0.5000  0.5987
B  0.5000  0.5000  0.9007
B  0.5000  0.8021  0.2504
B  0.5000  0.8021  0.7496
B  0.8021  0.5000  0.2504
B  0.8021  0.5000  0.7496



TbUB: relaxed, GGA-PBE.

## Properties
crystal system = orthorhombic
calculated formation energy = 1.49 eV/f.u.

abc: 8.1370 8.1370 8.1370
angles: 157.25 144.99 42.16
Fractional coordinates of all 6 atoms:
Tb  0.1804  0.1804  0.0000
Tb  0.8196  0.8196  0.0000
U  0.2491  0.5000  0.7491
U  0.7509  0.5000  0.2509
B  0.3557  0.3557  0.0000
B  0.6443  0.6443  0.0000



Tb2VB10: relaxed, GGA-PBE.

## Properties
crystal system = orthorhombic
calculated formation energy = -5.08 eV/f.u.

abc: 5.7250 11.4030 4.1556
angles: 90.00 90.00 90.00
Fractional coordinates of all 26 atoms:
Tb  0.2005  0.1396  0.0000
Tb  0.2995  0.6396  0.0000
Tb  0.7005  0.3604  0.0000
Tb  0.7995  0.8604  0.0000
V  0.0000  0.5000  0.5000
V  0.5000  0.0000  0.5000
B  0.0568  0.3085  0.5000
B  0.1203  0.9584  0.5000
B  0.1350  0.8020  0.5000
B  0.2229  0.3815  0.2000
B  0.2229  0.3815  0.8000
B  0.2771  0.8815  0.2000
B  0.2771  0.8815  0.8000
B  0.3650  0.3020  0.5000
B  0.3797  0.4584  0.5000
B  0.4432  0.8085  0.5000
B  0.5568  0.1915  0.5000
B  0.6203  0.5416  0.5000
B  0.6350  0.6980  0.5000
B  0.7229  0.1185  0.2000
B  0.7229  0.1185  0.8000
B  0.7771  0.6185  0.2000
B  0.7771  0.6185  0.8000
B  0.8650  0.1980  0.5000
B  0.8797  0.0416  0.5000
B  0.9432  0.6915  0.5000



TbB6W2: relaxed, GGA-PBE.

## Properties
crystal system = hexagonal
calculated formation energy = -2.60 eV/f.u.

abc: 5.3759 5.3759 3.5048
angles: 90.00 90.00 120.00
Fractional coordinates of all 9 atoms:
Tb  0.0000  0.0000  0.0000
B  0.0000  0.3403  0.5000
B  0.0000  0.6597  0.5000
B  0.3403  0.0000  0.5000
B  0.3403  0.3403  0.5000
B  0.6597  0.0000  0.5000
B  0.6597  0.6597  0.5000
W  0.3333  0.6667  0.0000
W  0.6667  0.3333  0.0000



Calculated magnetic moment (μB/atom), listed in the same order as above: 0.00 0.08 0.00 0.00 0.00 0.00 0.00 0.00 0.00 0.00 0.00 0.00 0.00 0.00 0.00 0.00 0.20 0.12 0.19 0.00
Calculated total energy (eV/atom), listed in the same order as above: -8.05 -6.98 -7.20 -5.46 -5.38 -5.41 -6.77 -6.40 -7.03 -6.42 -7.23 -6.76 -6.57 -4.90 -5.50 -6.40 -7.21 -7.04 -6.94 -8.13